Here is a geometry-optimized La2Y3Tm8 structure from the Alexandria database. Energies are from PBE.

Cell: 11.2277 11.2277 5.4546 Å, 90.00 90.00 140.58°
Atoms (fractional coordinates):
La (0.2397, 0.7603, 0.0000)
La (0.7603, 0.2397, 0.0000)
Y (0.0000, 0.0000, 0.0000)
Y (0.2882, 0.2882, 0.5000)
Y (0.7118, 0.7118, 0.5000)
Tm (0.1246, 0.8754, 0.5000)
Tm (0.1793, 0.3930, 0.0000)
Tm (0.3424, 0.6576, 0.5000)
Tm (0.3930, 0.1793, 0.0000)
Tm (0.6070, 0.8207, 0.0000)
Tm (0.6576, 0.3424, 0.5000)
Tm (0.8207, 0.6070, 0.0000)
Tm (0.8754, 0.1246, 0.5000)

Values from the calculation:
Crystal system: orthorhombic
Energy: -61.70 eV per formula unit
Fermi-level density of states: 1.7242 states/eV/atom